1.
DFT (PBE-GGA) results for a relaxed structure of HoBe9Co2. Values from VASP.

Geometry as Quantum ESPRESSO input:
```
&SYSTEM
  ibrav = 0, nat = 12, ntyp = 3
/
ATOMIC_SPECIES
Ho 164.93 Ho.upf
Be 9.01 Be.upf
Co 58.93 Co.upf
CELL_PARAMETERS angstrom
2.186 1.262 6.984
-2.186 1.262 6.984
0.000 -2.524 6.984
ATOMIC_POSITIONS crystal
Ho 0.000 0.000 0.000
Be 0.083 0.594 0.594
Be 0.333 0.333 0.333
Be 0.406 0.406 0.917
Be 0.406 0.917 0.406
Be 0.500 0.500 0.500
Be 0.594 0.083 0.594
Be 0.594 0.594 0.083
Be 0.667 0.667 0.667
Be 0.917 0.406 0.406
Co 0.144 0.144 0.144
Co 0.856 0.856 0.856
```

Output
The crystal system is trigonal. For the density of states at the Fermi level, the calculation gives 0.39 states/eV per atom.



2.
DFT (PBE-GGA) results for a relaxed structure of HoBe3Co2. Values from VASP.

Geometry as Quantum ESPRESSO input:
```
&SYSTEM
  ibrav = 0, nat = 12, ntyp = 3
/
ATOMIC_SPECIES
Ho 164.93 Ho.upf
Be 9.01 Be.upf
Co 58.93 Co.upf
CELL_PARAMETERS angstrom
4.324 -3.311 0.000
4.324 3.311 0.000
0.000 0.000 5.090
ATOMIC_POSITIONS crystal
Ho 0.174 0.826 0.750
Ho 0.826 0.174 0.250
Be 0.031 0.590 0.250
Be 0.410 0.969 0.250
Be 0.420 0.580 0.250
Be 0.580 0.420 0.750
Be 0.590 0.031 0.750
Be 0.969 0.410 0.750
Co 0.303 0.303 0.000
Co 0.303 0.303 0.500
Co 0.697 0.697 0.000
Co 0.697 0.697 0.500
```

Output
The crystal system is orthorhombic. For the density of states at the Fermi level, the calculation gives 0.75 states/eV per atom.



3.
DFT (PBE-GGA) results for a relaxed structure of HoBeCo. Values from VASP.

Geometry as Quantum ESPRESSO input:
```
&SYSTEM
  ibrav = 0, nat = 3, ntyp = 3
/
ATOMIC_SPECIES
Ho 164.93 Ho.upf
Be 9.01 Be.upf
Co 58.93 Co.upf
CELL_PARAMETERS angstrom
3.788 0.000 0.000
-1.894 3.280 0.000
0.000 0.000 3.850
ATOMIC_POSITIONS crystal
Ho 0.000 0.000 0.000
Be 0.667 0.333 0.500
Co 0.333 0.667 0.500
```

Output
The crystal system is hexagonal. For the density of states at the Fermi level, the calculation gives 0.63 states/eV per atom. The calculation puts the energy relative to the lowest polymorph listed for this composition at 68 meV/atom.



4.
DFT (PBE-GGA) results for a relaxed structure of Ho2BeCo2. Values from VASP.

Geometry as Quantum ESPRESSO input:
```
&SYSTEM
  ibrav = 0, nat = 10, ntyp = 3
/
ATOMIC_SPECIES
Ho 164.93 Ho.upf
Be 9.01 Be.upf
Co 58.93 Co.upf
CELL_PARAMETERS angstrom
3.673 0.000 0.000
0.000 5.505 0.000
0.000 0.000 8.264
ATOMIC_POSITIONS crystal
Ho 0.000 0.000 0.196
Ho 0.000 0.000 0.804
Ho 0.500 0.500 0.304
Ho 0.500 0.500 0.696
Be 0.000 0.500 0.000
Be 0.500 0.000 0.500
Co 0.000 0.238 0.500
Co 0.000 0.762 0.500
Co 0.500 0.262 0.000
Co 0.500 0.738 0.000
```

Output
The crystal system is orthorhombic. For the density of states at the Fermi level, the calculation gives 0.77 states/eV per atom. The calculation puts the energy relative to the lowest polymorph listed for this composition at 0 meV/atom.



5.
DFT (PBE-GGA) results for a relaxed structure of Ho2BeCo. Values from VASP.

Geometry as Quantum ESPRESSO input:
```
&SYSTEM
  ibrav = 0, nat = 8, ntyp = 3
/
ATOMIC_SPECIES
Ho 164.93 Ho.upf
Be 9.01 Be.upf
Co 58.93 Co.upf
CELL_PARAMETERS angstrom
3.848 0.000 0.000
0.000 3.844 0.000
0.000 0.000 10.744
ATOMIC_POSITIONS crystal
Ho 0.000 0.000 0.000
Ho 0.000 0.500 0.500
Ho 0.500 0.000 0.277
Ho 0.500 0.500 0.777
Be 0.000 0.000 0.692
Be 0.000 0.500 0.192
Co 0.500 0.000 0.588
Co 0.500 0.500 0.088
```

Output
The crystal system is orthorhombic. For the density of states at the Fermi level, the calculation gives 0.65 states/eV per atom. The calculation puts the energy relative to the lowest polymorph listed for this composition at 11 meV/atom.



6.
DFT (PBE-GGA) results for a relaxed structure of Ho4BeCo3. Values from VASP.

Geometry as Quantum ESPRESSO input:
```
&SYSTEM
  ibrav = 0, nat = 8, ntyp = 3
/
ATOMIC_SPECIES
Ho 164.93 Ho.upf
Be 9.01 Be.upf
Co 58.93 Co.upf
CELL_PARAMETERS angstrom
3.859 0.000 0.000
0.000 3.954 0.000
0.000 0.000 10.332
ATOMIC_POSITIONS crystal
Ho 0.000 0.000 0.000
Ho 0.000 0.500 0.495
Ho 0.500 0.000 0.714
Ho 0.500 0.500 0.214
Be 0.000 0.500 0.803
Co 0.000 0.000 0.295
Co 0.500 0.000 0.417
Co 0.500 0.500 0.907
```

Output
The crystal system is orthorhombic. For the density of states at the Fermi level, the calculation gives 1.10 states/eV per atom.



7.
DFT (PBE-GGA) results for a relaxed structure of Ho3Be2Co7. Values from VASP.

Geometry as Quantum ESPRESSO input:
```
&SYSTEM
  ibrav = 0, nat = 12, ntyp = 3
/
ATOMIC_SPECIES
Ho 164.93 Ho.upf
Be 9.01 Be.upf
Co 58.93 Co.upf
CELL_PARAMETERS angstrom
2.480 1.432 7.676
-2.480 1.432 7.676
0.000 -2.864 7.676
ATOMIC_POSITIONS crystal
Ho 0.000 0.000 0.000
Ho 0.140 0.140 0.140
Ho 0.860 0.860 0.860
Be 0.334 0.334 0.334
Be 0.666 0.666 0.666
Co 0.077 0.577 0.577
Co 0.423 0.423 0.923
Co 0.423 0.923 0.423
Co 0.500 0.500 0.500
Co 0.577 0.077 0.577
Co 0.577 0.577 0.077
Co 0.923 0.423 0.423
```

Output
The crystal system is trigonal. For the density of states at the Fermi level, the calculation gives 1.15 states/eV per atom.



8.
DFT (PBE-GGA) results for a relaxed structure of Ho2BeCo. Values from VASP.

Geometry as Quantum ESPRESSO input:
```
&SYSTEM
  ibrav = 0, nat = 16, ntyp = 3
/
ATOMIC_SPECIES
Ho 164.93 Ho.upf
Be 9.01 Be.upf
Co 58.93 Co.upf
CELL_PARAMETERS angstrom
6.700 0.000 0.000
0.000 6.700 0.000
0.000 0.000 6.700
ATOMIC_POSITIONS crystal
Ho 0.250 0.250 0.250
Ho 0.250 0.250 0.750
Ho 0.250 0.750 0.250
Ho 0.250 0.750 0.750
Ho 0.750 0.250 0.250
Ho 0.750 0.250 0.750
Ho 0.750 0.750 0.250
Ho 0.750 0.750 0.750
Be 0.000 0.000 0.000
Be 0.000 0.500 0.500
Be 0.500 0.000 0.500
Be 0.500 0.500 0.000
Co 0.000 0.000 0.500
Co 0.000 0.500 0.000
Co 0.500 0.000 0.000
Co 0.500 0.500 0.500
```

Output
The crystal system is cubic. For the density of states at the Fermi level, the calculation gives 0.64 states/eV per atom. The calculation puts the energy relative to the lowest polymorph listed for this composition at 118 meV/atom.



9.
DFT (PBE-GGA) results for a relaxed structure of HoBe4Co. Values from VASP.

Geometry as Quantum ESPRESSO input:
```
&SYSTEM
  ibrav = 0, nat = 6, ntyp = 3
/
ATOMIC_SPECIES
Ho 164.93 Ho.upf
Be 9.01 Be.upf
Co 58.93 Co.upf
CELL_PARAMETERS angstrom
0.000 3.236 3.236
3.236 0.000 3.236
3.236 3.236 0.000
ATOMIC_POSITIONS crystal
Ho 0.000 0.000 0.000
Be 0.136 0.621 0.621
Be 0.621 0.136 0.621
Be 0.621 0.621 0.136
Be 0.621 0.621 0.621
Co 0.250 0.250 0.250
```

Output
The crystal system is cubic.



10.
DFT (PBE-GGA) results for a relaxed structure of HoBe3Co3. Values from VASP.

Geometry as Quantum ESPRESSO input:
```
&SYSTEM
  ibrav = 0, nat = 14, ntyp = 3
/
ATOMIC_SPECIES
Ho 164.93 Ho.upf
Be 9.01 Be.upf
Co 58.93 Co.upf
CELL_PARAMETERS angstrom
5.694 0.000 0.000
0.000 5.694 0.000
0.000 0.000 5.694
ATOMIC_POSITIONS crystal
Ho 0.000 0.000 0.000
Ho 0.500 0.500 0.500
Be 0.000 0.250 0.500
Be 0.000 0.750 0.500
Be 0.250 0.500 0.000
Be 0.500 0.000 0.250
Be 0.500 0.000 0.750
Be 0.750 0.500 0.000
Co 0.000 0.500 0.250
Co 0.000 0.500 0.750
Co 0.250 0.000 0.500
Co 0.500 0.250 0.000
Co 0.500 0.750 0.000
Co 0.750 0.000 0.500
```

Output
The crystal system is cubic. For the density of states at the Fermi level, the calculation gives 0.63 states/eV per atom.



11.
DFT (PBE-GGA) results for a relaxed structure of Ho2Be15Co2. Values from VASP.

Geometry as Quantum ESPRESSO input:
```
&SYSTEM
  ibrav = 0, nat = 19, ntyp = 3
/
ATOMIC_SPECIES
Ho 164.93 Ho.upf
Be 9.01 Be.upf
Co 58.93 Co.upf
CELL_PARAMETERS angstrom
3.894 2.248 3.738
-3.894 2.248 3.738
0.000 -4.496 3.738
ATOMIC_POSITIONS crystal
Ho 0.159 0.159 0.159
Ho 0.841 0.841 0.841
Be 0.000 0.500 0.500
Be 0.165 0.165 0.649
Be 0.165 0.649 0.165
Be 0.225 0.500 0.775
Be 0.225 0.775 0.500
Be 0.351 0.835 0.835
Be 0.500 0.000 0.500
Be 0.500 0.225 0.775
Be 0.500 0.500 0.000
Be 0.500 0.775 0.225
Be 0.649 0.165 0.165
Be 0.775 0.225 0.500
Be 0.775 0.500 0.225
Be 0.835 0.351 0.835
Be 0.835 0.835 0.351
Co 0.399 0.399 0.399
Co 0.601 0.601 0.601
```

Output
The crystal system is trigonal. For the density of states at the Fermi level, the calculation gives 0.38 states/eV per atom.



12.
DFT (PBE-GGA) results for a relaxed structure of Ho2BeCo. Values from VASP.

Geometry as Quantum ESPRESSO input:
```
&SYSTEM
  ibrav = 0, nat = 12, ntyp = 3
/
ATOMIC_SPECIES
Ho 164.93 Ho.upf
Be 9.01 Be.upf
Co 58.93 Co.upf
CELL_PARAMETERS angstrom
3.810 0.000 0.000
-1.905 3.300 0.000
0.000 0.000 20.232
ATOMIC_POSITIONS crystal
Ho 0.000 0.000 0.000
Ho 0.000 0.000 0.175
Ho 0.333 0.667 0.667
Ho 0.333 0.667 0.842
Ho 0.667 0.333 0.333
Ho 0.667 0.333 0.509
Be 0.000 0.000 0.421
Be 0.333 0.667 0.087
Be 0.667 0.333 0.754
Co 0.000 0.000 0.755
Co 0.333 0.667 0.421
Co 0.667 0.333 0.088
```

Output
The crystal system is trigonal. For the density of states at the Fermi level, the calculation gives 1.04 states/eV per atom. The calculation puts the energy relative to the lowest polymorph listed for this composition at 0 meV/atom.



13.
DFT (PBE-GGA) results for a relaxed structure of HoBe6Co2. Values from VASP.

Geometry as Quantum ESPRESSO input:
```
&SYSTEM
  ibrav = 0, nat = 9, ntyp = 3
/
ATOMIC_SPECIES
Ho 164.93 Ho.upf
Be 9.01 Be.upf
Co 58.93 Co.upf
CELL_PARAMETERS angstrom
-1.798 2.966 4.662
1.798 -2.966 4.662
1.798 2.966 -4.662
ATOMIC_POSITIONS crystal
Ho 0.000 0.000 0.000
Be 0.091 0.285 0.806
Be 0.342 0.500 0.842
Be 0.479 0.285 0.194
Be 0.521 0.715 0.806
Be 0.658 0.500 0.158
Be 0.909 0.715 0.194
Co 0.367 0.867 0.500
Co 0.633 0.133 0.500
```

Output
The crystal system is orthorhombic. For the density of states at the Fermi level, the calculation gives 0.60 states/eV per atom.



14.
DFT (PBE-GGA) results for a relaxed structure of Ho2Be4Co3. Values from VASP.

Geometry as Quantum ESPRESSO input:
```
&SYSTEM
  ibrav = 0, nat = 9, ntyp = 3
/
ATOMIC_SPECIES
Ho 164.93 Ho.upf
Be 9.01 Be.upf
Co 58.93 Co.upf
CELL_PARAMETERS angstrom
0.000 4.482 5.802
2.342 0.000 5.802
2.342 4.482 0.000
ATOMIC_POSITIONS crystal
Ho 0.134 0.134 0.866
Ho 0.866 0.866 0.134
Be 0.161 0.532 0.468
Be 0.468 0.839 0.161
Be 0.532 0.161 0.839
Be 0.839 0.468 0.532
Co 0.000 0.000 0.500
Co 0.500 0.500 0.000
Co 0.500 0.500 0.500
```

Output
The crystal system is orthorhombic. For the density of states at the Fermi level, the calculation gives 0.60 states/eV per atom.



15.
DFT (PBE-GGA) results for a relaxed structure of HoBe2Co3. Values from VASP.

Geometry as Quantum ESPRESSO input:
```
&SYSTEM
  ibrav = 0, nat = 6, ntyp = 3
/
ATOMIC_SPECIES
Ho 164.93 Ho.upf
Be 9.01 Be.upf
Co 58.93 Co.upf
CELL_PARAMETERS angstrom
4.933 0.000 0.000
-2.466 4.272 0.000
0.000 0.000 3.472
ATOMIC_POSITIONS crystal
Ho 0.000 0.000 0.000
Be 0.333 0.667 0.000
Be 0.667 0.333 0.000
Co 0.000 0.500 0.500
Co 0.500 0.000 0.500
Co 0.500 0.500 0.500
```

Output
The crystal system is hexagonal. For the density of states at the Fermi level, the calculation gives 1.19 states/eV per atom.



16.
DFT (PBE-GGA) results for a relaxed structure of HoBeCo. Values from VASP.

Geometry as Quantum ESPRESSO input:
```
&SYSTEM
  ibrav = 0, nat = 6, ntyp = 3
/
ATOMIC_SPECIES
Ho 164.93 Ho.upf
Be 9.01 Be.upf
Co 58.93 Co.upf
CELL_PARAMETERS angstrom
3.957 0.000 0.000
0.000 3.957 0.000
0.000 0.000 6.271
ATOMIC_POSITIONS crystal
Ho 0.250 0.250 0.192
Ho 0.750 0.750 0.808
Be 0.250 0.250 0.654
Be 0.750 0.750 0.346
Co 0.250 0.750 0.500
Co 0.750 0.250 0.500
```

Output
The crystal system is tetragonal. For the density of states at the Fermi level, the calculation gives 0.44 states/eV per atom. The calculation puts the energy relative to the lowest polymorph listed for this composition at 0 meV/atom.



17.
DFT (PBE-GGA) results for a relaxed structure of Ho2BeCo2. Values from VASP.

Geometry as Quantum ESPRESSO input:
```
&SYSTEM
  ibrav = 0, nat = 10, ntyp = 3
/
ATOMIC_SPECIES
Ho 164.93 Ho.upf
Be 9.01 Be.upf
Co 58.93 Co.upf
CELL_PARAMETERS angstrom
4.715 -2.615 0.000
4.715 2.615 0.000
-1.601 0.000 6.786
ATOMIC_POSITIONS crystal
Ho 0.013 0.283 0.148
Ho 0.283 0.013 0.648
Ho 0.717 0.987 0.352
Ho 0.987 0.717 0.852
Be 0.393 0.607 0.250
Be 0.607 0.393 0.750
Co 0.241 0.502 0.492
Co 0.498 0.759 0.008
Co 0.502 0.241 0.992
Co 0.759 0.498 0.508
```

Output
The crystal system is monoclinic. For the density of states at the Fermi level, the calculation gives 0.68 states/eV per atom. The calculation puts the energy relative to the lowest polymorph listed for this composition at 21 meV/atom.



18.
DFT (PBE-GGA) results for a relaxed structure of HoBeCo. Values from VASP.

Geometry as Quantum ESPRESSO input:
```
&SYSTEM
  ibrav = 0, nat = 9, ntyp = 3
/
ATOMIC_SPECIES
Ho 164.93 Ho.upf
Be 9.01 Be.upf
Co 58.93 Co.upf
CELL_PARAMETERS angstrom
3.667 0.000 0.000
-1.833 3.175 0.000
0.000 0.000 13.195
ATOMIC_POSITIONS crystal
Ho 0.000 0.000 0.000
Ho 0.333 0.667 0.667
Ho 0.667 0.333 0.333
Be 0.000 0.000 0.798
Be 0.333 0.667 0.465
Be 0.667 0.333 0.131
Co 0.000 0.000 0.487
Co 0.333 0.667 0.153
Co 0.667 0.333 0.820
```

Output
The crystal system is trigonal. For the density of states at the Fermi level, the calculation gives 0.59 states/eV per atom. The calculation puts the energy relative to the lowest polymorph listed for this composition at 343 meV/atom.



19.
DFT (PBE-GGA) results for a relaxed structure of Ho2BeCo. Values from VASP.

Geometry as Quantum ESPRESSO input:
```
&SYSTEM
  ibrav = 0, nat = 4, ntyp = 3
/
ATOMIC_SPECIES
Ho 164.93 Ho.upf
Be 9.01 Be.upf
Co 58.93 Co.upf
CELL_PARAMETERS angstrom
3.360 0.000 0.000
0.000 3.360 0.000
0.000 0.000 6.701
ATOMIC_POSITIONS crystal
Ho 0.000 0.000 0.245
Ho 0.000 0.000 0.755
Be 0.500 0.500 0.500
Co 0.500 0.500 0.000
```

Output
The crystal system is tetragonal. For the density of states at the Fermi level, the calculation gives 0.73 states/eV per atom. The calculation puts the energy relative to the lowest polymorph listed for this composition at 122 meV/atom.



20.
DFT (PBE-GGA) results for a relaxed structure of HoBeCo3. Values from VASP.

Geometry as Quantum ESPRESSO input:
```
&SYSTEM
  ibrav = 0, nat = 10, ntyp = 3
/
ATOMIC_SPECIES
Ho 164.93 Ho.upf
Be 9.01 Be.upf
Co 58.93 Co.upf
CELL_PARAMETERS angstrom
2.232 -8.240 0.000
2.232 8.240 0.000
0.000 0.000 4.228
ATOMIC_POSITIONS crystal
Ho 0.100 0.900 0.750
Ho 0.900 0.100 0.250
Be 0.385 0.615 0.750
Be 0.615 0.385 0.250
Co 0.022 0.471 0.750
Co 0.471 0.022 0.250
Co 0.500 0.500 0.000
Co 0.500 0.500 0.500
Co 0.529 0.978 0.750
Co 0.978 0.529 0.250
```

Output
The crystal system is orthorhombic. For the density of states at the Fermi level, the calculation gives 0.83 states/eV per atom.



DFT formation energy for every record listed, in sequence, given in eV per formula unit: -1.96, -1.48, -0.52, -1.19, -0.63, -1.47, -3.10, -0.20, -0.76, 1.76, -3.56, -0.67, -0.55, -0.87, -1.70, -0.73, -1.08, 0.30, -0.18, 0.92.